DFT (PBE-GGA) results for a geometry-optimized La5P4F structure.

The structure belongs to space group I4 (No. 79); the cell edges are 9.403, 9.403 and 5.978 Å and the angles 90.00°, 90.00° and 90.00°. The asymmetric unit holds La at (0.000, 0.000, 0.000), La at (0.103, 0.305, 0.463), P at (0.098, 0.297, 0.964) and F at (0.000, 0.000, 0.413).

As for the total energy: -6.638 eV per atom. As for the uncorrected formation energy: -1759.2 kJ/mol of formula units.